[1]
Tm3Si2Ag3Ge | the Open Quantum Materials Database | PBE-GGA | relaxed; M_tot = 0.000 μB/atom
1.0
-2.2386 0.2020 6.6466
6.8720 -0.3209 -1.3791
0.1821 4.1821 -0.0658
Ag Ge Si Tm
3 1 2 3
Direct
0.7424 0.0000 0.5000 Ag
0.2576 0.2576 0.5000 Ag
0.0000 0.7424 0.5000 Ag
0.0000 0.0000 0.0000 Ge
0.6667 0.3333 0.5000 Si
0.3333 0.6667 0.5000 Si
0.4194 0.0000 0.0000 Tm
0.0000 0.4194 0.0000 Tm
0.5806 0.5806 0.0000 Tm

=====

[2]
Tm3SiAg3Ge2 | the Open Quantum Materials Database | PBE-GGA | relaxed; M_tot = 0.000 μB/atom
1.0
7.0838 0.0000 0.0000
-3.5419 6.1347 0.0000
0.0000 0.0000 4.1467
Ag Ge Si Tm
3 2 1 3
Direct
0.7537 0.0000 0.5000 Ag
0.2463 0.2463 0.5000 Ag
0.0000 0.7537 0.5000 Ag
0.6667 0.3333 0.5000 Ge
0.3333 0.6667 0.5000 Ge
0.0000 0.0000 0.0000 Si
0.4166 0.0000 0.0000 Tm
0.0000 0.4166 0.0000 Tm
0.5834 0.5834 0.0000 Tm

=====

[3]
Sm2Ag2SnGe | the Open Quantum Materials Database | PBE-GGA | relaxed; M_tot = 0.001 μB/atom
1.0
4.6780 0.0000 0.0000
-2.3390 4.0513 0.0000
0.0000 0.0000 7.5163
Ag Ge Sm Sn
2 1 2 1
Direct
0.0000 0.0000 0.1890 Ag
0.3333 0.6667 0.7021 Ag
0.0000 0.0000 0.7825 Ge
0.6667 0.3333 0.4998 Sm
0.6667 0.3333 0.9845 Sm
0.3333 0.6667 0.2761 Sn

=====

[4]
TbSm2Ag4Ge4 | the Open Quantum Materials Database | PBE-GGA | relaxed; M_tot = 0.000 μB/atom
1.0
-2.2060 3.5605 7.3407
2.2060 -3.5605 7.3407
2.2060 3.5605 -7.3407
Ag Ge Sm Tb
4 4 2 1
Direct
0.6350 0.3315 0.3035 Ag
0.9720 0.6685 0.3035 Ag
0.0280 0.3315 0.6965 Ag
0.3650 0.6685 0.6965 Ag
0.2155 0.2155 0.0000 Ge
0.7845 0.7845 0.0000 Ge
0.6846 0.5000 0.1846 Ge
0.3154 0.5000 0.8154 Ge
0.6270 0.1270 0.5000 Sm
0.3730 0.8730 0.5000 Sm
0.0000 0.0000 0.0000 Tb

=====

[5]
Density functional theory data (PBE-GGA) for a relaxed structure of Ag2Sn2Ge.

Structure (POSCAR):
```
Ag2Sn2Ge
1.0
-4.6291 -1.1464 -1.1664
2.8882 -2.6006 2.9997
-4.0468 6.5758 9.5972
Ag Ge Sn
4 2 4
Direct
0.6977 0.3023 0.1354 Ag
0.6977 0.3023 0.3646 Ag
0.3023 0.6977 0.6354 Ag
0.3023 0.6977 0.8646 Ag
0.9906 0.0094 0.2500 Ge
0.0094 0.9906 0.7500 Ge
0.3792 0.6208 0.0935 Sn
0.3792 0.6208 0.4065 Sn
0.6208 0.3792 0.5935 Sn
0.6208 0.3792 0.9065 Sn
```

=====

[6]
Density functional theory data (PBE-GGA) for a relaxed structure of Ag2Sn2Ge3.

Structure (POSCAR):
```
Ag2Sn2Ge3
1.0
4.7781 -6.5822 1.3773
7.1714 -2.7013 3.0540
3.6368 -4.7108 5.7127
Ag Ge Sn
2 3 2
Direct
0.2452 0.2452 0.2452 Ag
0.7541 0.7541 0.7541 Ag
0.3738 0.3738 0.3738 Ge
0.6231 0.6231 0.6231 Ge
0.8756 0.8756 0.8756 Ge
0.0077 0.0077 0.0077 Sn
0.4954 0.4954 0.4954 Sn
```

=====

[7]
Density functional theory data (PBE-GGA) for a relaxed structure of SrAgGe2.

Structure (POSCAR):
```
SrAgGe2
1.0
3.8700 -2.2473 2.4592
0.1623 -5.0884 0.3962
3.4902 -2.6546 -2.6167
Ag Ge Sr
1 2 1
Direct
0.5000 0.5000 0.5000 Ag
0.0000 0.0000 0.0000 Ge
0.2500 0.2500 0.2500 Ge
0.7500 0.7500 0.7500 Sr
```

=====

[8]
Density functional theory data (PBE-GGA) for a relaxed structure of SrAgGe.

Structure (POSCAR):
```
SrAgGe
1.0
0.0000 3.4689 3.4689
3.4689 0.0000 3.4689
3.4689 3.4689 0.0000
Ag Ge Sr
1 1 1
Direct
0.0000 0.0000 0.0000 Ag
0.2500 0.2500 0.2500 Ge
0.7500 0.7500 0.7500 Sr
```

=====

[9]
Density functional theory data (PBE-GGA) for a relaxed structure of SrAgGe.

Structure (POSCAR):
```
SrAgGe
1.0
0.0000 3.6172 3.6172
3.6172 0.0000 3.6172
3.6172 3.6172 0.0000
Ag Ge Sr
1 1 1
Direct
0.2500 0.2500 0.2500 Ag
0.7500 0.7500 0.7500 Ge
0.0000 0.0000 0.0000 Sr
```

=====

[10]
Density functional theory data (PBE-GGA) for a relaxed structure of Sr2AgGe.

Structure (POSCAR):
```
Sr2AgGe
1.0
0.0000 3.8126 3.8126
3.8126 0.0000 3.8126
3.8126 3.8126 0.0000
Ag Ge Sr
1 1 2
Direct
0.5000 0.5000 0.5000 Ag
0.7500 0.7500 0.7500 Ge
0.0000 0.0000 0.0000 Sr
0.2500 0.2500 0.2500 Sr
```

=====

[11]
TaAg2Ge | the Open Quantum Materials Database | PBE-GGA | relaxed; M_tot = 0.006 μB/atom
1.0
1.0059 -4.5050 -0.2589
-1.4733 -2.8905 3.2937
-3.3344 -3.0630 -0.9349
Ag Ge Ta
2 1 1
Direct
0.0000 0.0000 0.0000 Ag
0.7500 0.7500 0.7500 Ag
0.5000 0.5000 0.5000 Ge
0.2500 0.2500 0.2500 Ta

=====

[12]
TaAgGe2 | the Open Quantum Materials Database | PBE-GGA | relaxed; M_tot = 0.077 μB/atom
1.0
-2.3275 -3.0123 2.7029
-0.8866 1.0670 4.4579
-4.3655 0.9630 1.3461
Ag Ge Ta
1 2 1
Direct
0.7500 0.7500 0.7500 Ag
0.2500 0.2500 0.2500 Ge
0.5000 0.5000 0.5000 Ge
0.0000 0.0000 0.0000 Ta

=====

Number 1: energy -42.82 eV/cell. Number 2: energy -42.17 eV/cell. Number 3: energy -27.34 eV/cell. Number 4: energy -49.77 eV/cell. Number 5: energy -34.99 eV/cell. Number 6: energy -25.78 eV/cell. Number 7: energy -13.98 eV/cell. Number 8: energy -9.63 eV/cell. Number 9: energy -8.22 eV/cell. Number 10: energy -11.07 eV/cell. Number 11: energy -20.70 eV/cell. Number 12: energy -21.73 eV/cell.